*w*
Material: MgBeMoHW
Method: DFT, PBE
State: optimized geometry

The structure in CIF format:
```
data_MgBeMoHW
_symmetry_space_group_name_H-M 'P 1'
_symmetry_Int_Tables_number 1
_symmetry_space_group_name_Hall 'P 1'
_cell_length_a 2.7398
_cell_length_b 4.5859
_cell_length_c 5.0752
_cell_angle_alpha 93.67
_cell_angle_beta 97.57
_cell_angle_gamma 92.43
loop_
_atom_site_label
_atom_site_type_symbol
_atom_site_fract_x
_atom_site_fract_y
_atom_site_fract_z
Mg1 Mg 0.0000 0.0000 0.0000
Be1 Be 0.8777 0.5291 0.2213
Mo1 Mo 0.5396 0.9399 0.4972
H1 H 0.0632 0.2237 0.4228
W1 W 0.3356 0.4789 0.7351
```

*x*
Material: MgBeMoHW
Method: DFT, PBE
State: optimized geometry

The structure in CIF format:
```
data_MgBeMoHW
_symmetry_space_group_name_H-M 'P 1'
_symmetry_Int_Tables_number 1
_symmetry_space_group_name_Hall 'P 1'
_cell_length_a 3.0983
_cell_length_b 4.5657
_cell_length_c 5.0089
_cell_angle_alpha 109.96
_cell_angle_beta 107.90
_cell_angle_gamma 90.10
loop_
_atom_site_label
_atom_site_type_symbol
_atom_site_fract_x
_atom_site_fract_y
_atom_site_fract_z
Mg1 Mg 0.0000 0.0000 0.0000
Be1 Be 0.2616 0.8596 0.5225
Mo1 Mo 0.5764 0.5506 0.1529
H1 H 0.9725 0.5516 0.9440
W1 W 0.7722 0.3021 0.5425
```

Relative energy of each structure, in eV/atom: *w* 0.000; *x* 0.038.

*w*
Material: CrSeBr2
Method: DFT, PBE
State: optimized geometry

The structure in CIF format:
```
data_CrSeBr2
_symmetry_space_group_name_H-M 'P 1 m 1'
_symmetry_Int_Tables_number 6
_symmetry_space_group_name_Hall 'P -2y'
_cell_length_a 6.2133
_cell_length_b 3.4863
_cell_length_c 6.4949
_cell_angle_alpha 90.00
_cell_angle_beta 117.53
_cell_angle_gamma 90.00
loop_
_atom_site_label
_atom_site_type_symbol
_atom_site_fract_x
_atom_site_fract_y
_atom_site_fract_z
Cr1 Cr 0.0000 0.0000 0.0000
Se1 Se 0.2082 0.5000 0.2603
Br1 Br 0.6286 0.0000 0.0063
Br2 Br 0.9373 0.5000 0.6893
```

*x*
Material: CrSeBr2
Method: DFT, PBE
State: optimized geometry

The structure in CIF format:
```
data_CrSeBr2
_symmetry_space_group_name_H-M 'F -4 3 m'
_symmetry_Int_Tables_number 216
_symmetry_space_group_name_Hall 'F -4 2 3'
_cell_length_a 7.0686
_cell_length_b 7.0686
_cell_length_c 7.0686
_cell_angle_alpha 90.00
_cell_angle_beta 90.00
_cell_angle_gamma 90.00
loop_
_atom_site_label
_atom_site_type_symbol
_atom_site_fract_x
_atom_site_fract_y
_atom_site_fract_z
Cr1 Cr 0.0000 0.0000 0.0000
Se1 Se 0.2500 0.2500 0.2500
Br1 Br 0.0000 0.0000 0.5000
Br2 Br 0.2500 0.2500 0.7500
```

Relative energy of each structure, in eV/atom: *w* 0.000; *x* 0.867.

*w*
Material: Mg2AlS
Method: DFT, PBE
State: optimized geometry

The structure in CIF format:
```
data_Mg2AlS
_symmetry_space_group_name_H-M 'I -4 2 d'
_symmetry_Int_Tables_number 122
_symmetry_space_group_name_Hall 'I -4 2bw'
_cell_length_a 7.4465
_cell_length_b 7.4465
_cell_length_c 6.0183
_cell_angle_alpha 90.00
_cell_angle_beta 90.00
_cell_angle_gamma 90.00
loop_
_atom_site_label
_atom_site_type_symbol
_atom_site_fract_x
_atom_site_fract_y
_atom_site_fract_z
Mg1 Mg 0.2021 0.2500 0.1250
Al1 Al 0.0000 0.0000 0.5000
S1 S 0.0000 0.0000 0.0000
```

*x*
Material: Mg2AlS
Method: DFT, PBE
State: optimized geometry

The structure in CIF format:
```
data_Mg2AlS
_symmetry_space_group_name_H-M 'F m -3 m'
_symmetry_Int_Tables_number 225
_symmetry_space_group_name_Hall '-F 4 2 3'
_cell_length_a 6.8242
_cell_length_b 6.8242
_cell_length_c 6.8242
_cell_angle_alpha 90.00
_cell_angle_beta 90.00
_cell_angle_gamma 90.00
loop_
_atom_site_label
_atom_site_type_symbol
_atom_site_fract_x
_atom_site_fract_y
_atom_site_fract_z
Mg1 Mg 0.2500 0.2500 0.2500
Al1 Al 0.0000 0.0000 0.0000
S1 S 0.0000 0.0000 0.5000
```

Relative energy of each structure, in eV/atom: *w* 0.000; *x* 0.368.